The following is a GGA-PBE calculation of a geometry-optimized LiDyCu2 structure, from the Alexandria database.

a = 3.341 Å, b = 3.341 Å, c = 6.179 Å
α = 90.00°, β = 90.00°, γ = 90.00°
Space group P4/mmm (No. 123)
Unique sites:
Li 0.000 0.000 0.000 (multiplicity 1)
Dy 0.000 0.000 0.500 (multiplicity 1)
Cu 0.500 0.500 0.206 (multiplicity 2)

Values from the calculation:
Uncorrected energy: -15.0 eV per formula unit
V: 69.0 Å³/cell
E above lowest polymorph: 0.042 eV per atom
Formation energy from the elements: -84 meV/atom